[1]
Entry from Alexandria: a relaxed HoErN2 crystal (GGA-PBE).

abc: 3.383 3.383 5.948
angles: 90.01 90.00 120.00
Fractional positions:
Ho 0.000 0.500 0.000
Er 0.000 0.500 0.500
N 0.667 0.833 0.749
N 0.333 0.167 0.251

The space-group type is P-3m1, No. 164.


[2]
Entry from Alexandria: a relaxed Ho3Er5N8 crystal (GGA-PBE).

abc: 6.874 6.874 6.872
angles: 59.99 59.99 60.00
Fractional positions:
Ho 0.500 0.000 0.500
Ho 0.000 0.000 0.500
Ho 0.000 0.500 0.500
Er 0.500 0.000 0.000
Er 0.500 0.500 0.000
Er 0.000 0.000 0.000
Er 0.000 0.500 0.000
Er 0.500 0.500 0.500
N 0.250 0.250 0.751
N 0.250 0.749 0.751
N 0.749 0.250 0.751
N 0.750 0.750 0.751
N 0.750 0.750 0.249
N 0.750 0.251 0.249
N 0.251 0.750 0.249
N 0.250 0.250 0.249

The space-group type is R-3m, No. 166.


[3]
Entry from Alexandria: a relaxed HoErNbN3 crystal (GGA-PBE).

abc: 3.310 5.725 8.577
angles: 102.94 90.00 90.00
Fractional positions:
Ho 0.750 0.653 0.688
Ho 0.250 0.347 0.312
Er 0.250 0.770 0.048
Er 0.750 0.230 0.952
Nb 0.250 0.136 0.634
Nb 0.750 0.864 0.366
N 0.250 0.745 0.490
N 0.750 0.046 0.170
N 0.750 0.558 0.179
N 0.750 0.255 0.510
N 0.250 0.442 0.821
N 0.250 0.954 0.830

The space-group type is P2_1/m, No. 11.


[4]
Entry from Alexandria: a relaxed Ho2ErNbN4 crystal (GGA-PBE).

abc: 3.335 5.794 5.797
angles: 109.14 90.00 90.00
Fractional positions:
Ho 0.500 0.000 0.500
Ho 0.000 0.500 0.500
Er 0.500 0.500 0.000
Nb 0.000 0.000 0.000
N 0.500 0.236 0.235
N 0.500 0.764 0.765
N 0.000 0.241 0.762
N 0.000 0.759 0.238

The space-group type is P2/m, No. 10.


[5]
Entry from Alexandria: a relaxed HoEr2NbN4 crystal (GGA-PBE).

abc: 3.330 5.788 5.785
angles: 109.14 90.00 90.00
Fractional positions:
Ho 0.500 0.500 0.000
Er 0.500 0.000 0.500
Er 0.000 0.500 0.500
Nb 0.000 0.000 0.000
N 0.500 0.236 0.237
N 0.500 0.764 0.763
N 0.000 0.239 0.759
N 0.000 0.761 0.241

The space-group type is P2/m, No. 10.


[6]
Entry from Alexandria: a relaxed HoEr2NpN4 crystal (GGA-PBE).

abc: 3.434 5.934 5.933
angles: 109.00 90.00 90.00
Fractional positions:
Ho 0.500 0.500 0.000
Er 0.500 0.000 0.500
Er 0.000 0.500 0.500
Np 0.000 0.000 0.000
N 0.500 0.245 0.247
N 0.500 0.755 0.753
N 0.000 0.241 0.757
N 0.000 0.759 0.243

The space-group type is P2/m, No. 10.


[7]
Entry from Alexandria: a relaxed Ho2ErNpN4 crystal (GGA-PBE).

abc: 3.440 5.940 5.941
angles: 108.99 90.00 90.00
Fractional positions:
Ho 0.500 0.000 0.500
Ho 0.000 0.500 0.500
Er 0.500 0.500 0.000
Np 0.000 0.000 0.000
N 0.500 0.245 0.244
N 0.500 0.755 0.756
N 0.000 0.242 0.760
N 0.000 0.758 0.240

The space-group type is P2/m, No. 10.


[8]
Entry from Alexandria: a relaxed HoEr2PaN4 crystal (GGA-PBE).

abc: 3.464 5.962 5.959
angles: 109.17 90.00 90.00
Fractional positions:
Ho 0.000 0.000 0.000
Er 0.500 0.000 0.500
Er 0.000 0.500 0.500
Pa 0.500 0.500 0.000
N 0.500 0.259 0.244
N 0.500 0.741 0.756
N 0.000 0.255 0.754
N 0.000 0.745 0.246

The space-group type is P2/m, No. 10.


[9]
Entry from Alexandria: a relaxed Ho2ErPaN4 crystal (GGA-PBE).

abc: 3.471 5.967 5.971
angles: 109.20 90.00 90.00
Fractional positions:
Ho 0.500 0.000 0.500
Ho 0.000 0.500 0.500
Er 0.000 0.000 0.000
Pa 0.500 0.500 0.000
N 0.500 0.257 0.241
N 0.500 0.743 0.759
N 0.000 0.255 0.757
N 0.000 0.745 0.243

The space-group type is P2/m, No. 10.


[10]
Entry from Alexandria: a relaxed HoErPa2N4 crystal (GGA-PBE).

abc: 3.461 6.001 6.034
angles: 109.43 90.00 90.00
Fractional positions:
Ho 0.500 0.500 0.000
Er 0.000 0.000 0.000
Pa 0.500 0.000 0.500
Pa 0.000 0.500 0.500
N 0.500 0.250 0.254
N 0.500 0.750 0.746
N 0.000 0.247 0.745
N 0.000 0.753 0.255

The space-group type is P2/m, No. 10.


[11]
Entry from Alexandria: a relaxed Ho2ErPuN4 crystal (GGA-PBE).

abc: 3.457 5.961 5.961
angles: 109.38 90.00 90.00
Fractional positions:
Ho 0.500 0.000 0.500
Ho 0.000 0.500 0.500
Er 0.500 0.500 0.000
Pu 0.000 0.000 0.000
N 0.500 0.246 0.245
N 0.500 0.754 0.755
N 0.000 0.248 0.754
N 0.000 0.752 0.246

The space-group type is P2/m, No. 10.


[12]
Entry from Alexandria: a relaxed HoEr2RuN4 crystal (GGA-PBE).

abc: 3.354 5.969 11.526
angles: 90.00 90.00 106.32
Fractional positions:
Ho 0.131 0.262 0.750
Ho 0.869 0.738 0.250
Er 0.369 0.737 0.542
Er 0.631 0.263 0.042
Er 0.631 0.263 0.458
Er 0.369 0.737 0.958
Ru 0.867 0.734 0.750
Ru 0.133 0.266 0.250
N 0.268 0.535 0.130
N 0.732 0.465 0.630
N 0.732 0.465 0.870
N 0.268 0.535 0.370
N 0.000 0.000 0.500
N 0.000 0.000 0.000
N 0.455 0.910 0.750
N 0.545 0.090 0.250

The space-group type is Cmcm, No. 63.


[13]
Entry from Alexandria: a relaxed HoErSN crystal (GGA-PBE).

abc: 3.589 3.589 6.550
angles: 74.10 74.10 60.00
Fractional positions:
Ho 0.264 0.264 0.209
Er 0.736 0.736 0.792
S 0.499 0.499 0.502
N 0.001 0.001 0.998

The space-group type is R3m, No. 160.


[14]
Entry from Alexandria: a relaxed Ho2ErSbN4 crystal (GGA-PBE).

abc: 3.458 6.011 6.004
angles: 109.30 90.00 90.00
Fractional positions:
Ho 0.500 0.000 0.500
Ho 0.000 0.500 0.500
Er 0.500 0.500 0.000
Sb 0.000 0.000 0.000
N 0.500 0.263 0.262
N 0.500 0.737 0.738
N 0.000 0.257 0.745
N 0.000 0.743 0.255

The space-group type is P2/m, No. 10.


[15]
Entry from Alexandria: a relaxed HoEr2SbN4 crystal (GGA-PBE).

abc: 3.453 5.995 6.002
angles: 109.28 90.00 90.00
Fractional positions:
Ho 0.500 0.500 0.000
Er 0.500 0.000 0.500
Er 0.000 0.500 0.500
Sb 0.000 0.000 0.000
N 0.500 0.263 0.264
N 0.500 0.737 0.736
N 0.000 0.255 0.743
N 0.000 0.745 0.257

The space-group type is P2/m, No. 10.


[16]
Entry from Alexandria: a relaxed Ho2ErScN4 crystal (GGA-PBE).

abc: 3.388 5.862 5.862
angles: 109.42 90.00 90.00
Fractional positions:
Ho 0.500 0.000 0.500
Ho 0.000 0.500 0.500
Er 0.500 0.500 0.000
Sc 0.000 0.000 0.000
N 0.500 0.243 0.242
N 0.500 0.757 0.758
N 0.000 0.247 0.755
N 0.000 0.753 0.245

The space-group type is P2/m, No. 10.


[17]
Entry from Alexandria: a relaxed HoErSeN crystal (GGA-PBE).

abc: 3.638 3.638 6.791
angles: 74.46 74.46 60.00
Fractional positions:
Ho 0.517 0.517 0.448
Er 0.983 0.983 0.052
Se 0.749 0.749 0.752
N 0.251 0.251 0.248

The space-group type is R3m, No. 160.


[18]
Entry from Alexandria: a relaxed SmHoErN3 crystal (GGA-PBE).

abc: 3.468 5.985 9.008
angles: 101.62 90.00 90.00
Fractional positions:
Sm 0.750 0.656 0.698
Sm 0.250 0.344 0.302
Ho 0.250 0.769 0.045
Ho 0.750 0.231 0.955
Er 0.250 0.150 0.639
Er 0.750 0.850 0.361
N 0.250 0.753 0.494
N 0.750 0.036 0.155
N 0.750 0.540 0.168
N 0.750 0.247 0.506
N 0.250 0.460 0.832
N 0.250 0.964 0.845

The space-group type is P2_1/m, No. 11.


[19]
Entry from Alexandria: a relaxed HoEr2TaN4 crystal (GGA-PBE).

abc: 3.321 5.775 5.770
angles: 109.13 90.00 90.00
Fractional positions:
Ho 0.500 0.500 0.000
Er 0.500 0.000 0.500
Er 0.000 0.500 0.500
Ta 0.000 0.000 0.000
N 0.500 0.230 0.231
N 0.500 0.770 0.769
N 0.000 0.235 0.762
N 0.000 0.765 0.238

The space-group type is P2/m, No. 10.


[20]
Entry from Alexandria: a relaxed Ho2ErTaN4 crystal (GGA-PBE).

abc: 3.324 5.778 5.784
angles: 109.11 90.00 90.00
Fractional positions:
Ho 0.500 0.000 0.500
Ho 0.000 0.500 0.500
Er 0.500 0.500 0.000
Ta 0.000 0.000 0.000
N 0.500 0.230 0.229
N 0.500 0.770 0.771
N 0.000 0.237 0.765
N 0.000 0.763 0.235

The space-group type is P2/m, No. 10.


no.,calculated volume (Å³/cell),E_form (uncorrected) (meV per atom)
1,59.0,-1408
2,229.6,-1769
3,158.4,-1447
4,105.8,-1561
5,105.3,-1567
6,114.3,-1595
7,114.8,-1589
8,116.2,-1740
9,116.8,-1735
10,118.2,-1676
11,115.9,-1617
12,221.5,-1063
13,69.3,-1873
14,117.8,-1096
15,117.3,-1105
16,109.8,-1763
17,74.0,-1716
18,183.2,-1465
19,104.5,-1592
20,105.0,-1588